[1]
Compound: AcMg3
Source: the Alexandria database
Functional: PBE
Structure: optimized geometry

Output
- Theoretical density: 4.10 g/cm3
- Space group: P4/mmm, No. 123

a = 5.0249 Å, b = 5.0249 Å, c = 4.8096 Å
α = 90.00°, β = 90.00°, γ = 90.00°
Fractional positions:
1 Ac 0.0000 0.0000 0.0000
2 Mg 0.0000 0.5000 0.5000
3 Mg 0.5000 0.0000 0.5000
4 Mg 0.5000 0.5000 0.0000


[2]
Compound: Ac2Mg
Source: the Alexandria database
Functional: PBE
Structure: optimized geometry

Output
- Theoretical density: 6.14 g/cm3
- Space group: Fd-3m, No. 227

a = 7.1540 Å, b = 7.1540 Å, c = 7.1540 Å
α = 60.00°, β = 60.00°, γ = 60.00°
Fractional positions:
1 Ac 0.0000 0.0000 0.0000
2 Ac 0.0000 0.0000 0.5000
3 Ac 0.0000 0.5000 0.0000
4 Ac 0.5000 0.0000 0.0000
5 Mg 0.3750 0.3750 0.3750
6 Mg 0.6250 0.6250 0.6250


So what do the calculations give for VASP energy? Going down the list: -8.8, -17.0 eV per cell.